Record 1
First-principles (meta-GGA SCAN) data for a crystal of CaMn2CoSb relaxed with PBEsol, as listed in Alexandria.

Cell: 4.6351 4.6351 4.7473 Å, 90.00 90.00 90.00°
Space group P4/mmm (No. 123)
Symmetry-distinct sites (fractional):
Ca 0.0000 0.0000 0.0000 [1 per cell]
Mn 0.0000 0.5000 0.5000 [2 per cell]
Co 0.5000 0.5000 0.5000 [1 per cell]
Sb 0.5000 0.5000 0.0000 [1 per cell]

Summary:
The calculation puts the total DFT energy (no corrections) at -20.17 eV/atom.

Record 2
First-principles (meta-GGA SCAN) data for a crystal of CaCo3Mo relaxed with PBEsol, as listed in Alexandria.

Cell: 4.4151 4.4151 4.4151 Å, 90.00 90.00 90.00°
Space group Pm-3m (No. 221)
Symmetry-distinct sites (fractional):
Ca 0.0000 0.0000 0.0000 [1 per cell]
Co 0.0000 0.5000 0.5000 [3 per cell]
Mo 0.5000 0.5000 0.5000 [1 per cell]

Summary:
The calculation puts the total DFT energy (no corrections) at -18.38 eV/atom. The value obtained for the formation energy is 0.913 eV per atom.

Record 3
First-principles (meta-GGA SCAN) data for a crystal of Ca2CoMo relaxed with PBEsol, as listed in Alexandria.

Cell: 2.8188 4.7088 5.7671 Å, 90.00 90.00 90.00°
Space group Pmmm (No. 47)
Symmetry-distinct sites (fractional):
Ca 0.0000 0.0000 0.2454 [2 per cell]
Co 0.5000 0.5000 0.0000 [1 per cell]
Mo 0.5000 0.5000 0.5000 [1 per cell]

Summary:
The calculation puts the total DFT energy (no corrections) at -16.96 eV/atom. The energy above the most stable polymorph in this dataset comes out at 63.8 meV per atom. The value obtained for the formation energy is 0.921 eV per atom.

Record 4
First-principles (meta-GGA SCAN) data for a crystal of Ca3CoMo relaxed with PBEsol, as listed in Alexandria.

Cell: 5.2615 5.2615 5.2615 Å, 90.00 90.00 90.00°
Space group Pm-3m (No. 221)
Symmetry-distinct sites (fractional):
Ca 0.0000 0.0000 0.5000 [3 per cell]
Co 0.5000 0.5000 0.5000 [1 per cell]
Mo 0.0000 0.0000 0.0000 [1 per cell]

Summary:
The calculation puts the total DFT energy (no corrections) at -14.89 eV/atom. The value obtained for the formation energy is 1.350 eV per atom.

Record 5
First-principles (meta-GGA SCAN) data for a crystal of Ca2CoMo relaxed with PBEsol, as listed in Alexandria.

Cell: 3.6286 3.6286 6.2927 Å, 90.00 90.00 90.00°
Space group P4/mmm (No. 123)
Symmetry-distinct sites (fractional):
Ca 0.0000 0.0000 0.2365 [2 per cell]
Co 0.5000 0.5000 0.0000 [1 per cell]
Mo 0.5000 0.5000 0.5000 [1 per cell]

Summary:
The calculation puts the total DFT energy (no corrections) at -17.02 eV/atom. The energy above the most stable polymorph in this dataset comes out at 0.0 meV per atom. The value obtained for the formation energy is 0.857 eV per atom.

Record 6
First-principles (meta-GGA SCAN) data for a crystal of CaCoMo relaxed with PBEsol, as listed in Alexandria.

Cell: 5.9877 5.9877 5.9877 Å, 90.00 90.00 90.00°
Space group F-43m (No. 216)
Symmetry-distinct sites (fractional):
Ca 0.0000 0.0000 0.0000 [4 per cell]
Co 0.0000 0.0000 0.5000 [4 per cell]
Mo 0.2500 0.2500 0.2500 [4 per cell]

Summary:
The calculation puts the total DFT energy (no corrections) at -19.27 eV/atom. The value obtained for the formation energy is 1.348 eV per atom.

Record 7
First-principles (meta-GGA SCAN) data for a crystal of Ca2ZnCoMo relaxed with PBEsol, as listed in Alexandria.

Cell: 5.5455 5.5455 4.2006 Å, 90.00 90.00 90.00°
Space group P4/mmm (No. 123)
Symmetry-distinct sites (fractional):
Ca 0.0000 0.5000 0.0000 [2 per cell]
Zn 0.0000 0.0000 0.5000 [1 per cell]
Co 0.5000 0.5000 0.5000 [1 per cell]
Mo 0.5000 0.5000 0.0000 [1 per cell]

Summary:
The calculation puts the total DFT energy (no corrections) at -16.06 eV/atom. The value obtained for the formation energy is 0.944 eV per atom.

Record 8
First-principles (meta-GGA SCAN) data for a crystal of Ca3CoN relaxed with PBEsol, as listed in Alexandria.

Cell: 4.9172 4.9172 4.9172 Å, 90.00 90.00 90.00°
Space group Pm-3m (No. 221)
Symmetry-distinct sites (fractional):
Ca 0.0000 0.0000 0.5000 [3 per cell]
Co 0.0000 0.0000 0.0000 [1 per cell]
N 0.5000 0.5000 0.5000 [1 per cell]

Summary:
The calculation puts the total DFT energy (no corrections) at -10.15 eV/atom.

Record 9
First-principles (meta-GGA SCAN) data for a crystal of Ca3Co3N5 relaxed with PBEsol, as listed in Alexandria.

Cell: 5.4545 6.6642 8.1813 Å, 108.89 104.62 94.99°
Space group P-1 (No. 2)
Symmetry-distinct sites (fractional):
Ca 0.1582 0.3688 0.3719 [2 per cell]
Ca 0.1590 0.1680 0.7010 [2 per cell]
Ca 0.3152 0.9107 0.1110 [2 per cell]
Co 0.1855 0.4479 0.0630 [2 per cell]
Co 0.3978 0.6176 0.7890 [2 per cell]
Co 0.4132 0.8209 0.4737 [2 per cell]
N 0.1282 0.5515 0.8758 [2 per cell]
N 0.2479 0.0344 0.4050 [2 per cell]
N 0.2765 0.7321 0.6192 [2 per cell]
N 0.3230 0.1992 0.0133 [2 per cell]
N 0.4331 0.6131 0.2765 [2 per cell]

Summary:
The calculation puts the total DFT energy (no corrections) at -12.09 eV/atom.

Record 10
First-principles (meta-GGA SCAN) data for a crystal of CaCoN2 relaxed with PBEsol, as listed in Alexandria.

Cell: 5.4046 5.4046 5.4046 Å, 90.00 90.00 90.00°
Space group Fm-3m (No. 225)
Symmetry-distinct sites (fractional):
Ca 0.0000 0.0000 0.0000 [4 per cell]
Co 0.0000 0.0000 0.5000 [4 per cell]
N 0.2500 0.2500 0.2500 [8 per cell]

Summary:
The calculation puts the total DFT energy (no corrections) at -10.83 eV/atom.

Record 11
First-principles (meta-GGA SCAN) data for a crystal of Ca5Co2N4 relaxed with PBEsol, as listed in Alexandria.

Cell: 7.9731 7.9731 11.8647 Å, 90.00 90.00 90.00°
Space group P4/ncc (No. 130, origin choice 2)
Symmetry-distinct sites (fractional):
Ca 0.0752 0.6338 0.0970 [16 per cell]
Ca 0.2500 0.2500 0.1514 [4 per cell]
Co 0.0925 0.5925 0.7500 [8 per cell]
N 0.0489 0.6409 0.8928 [16 per cell]

Summary:
The calculation puts the total DFT energy (no corrections) at -11.79 eV/atom.

Record 12
First-principles (meta-GGA SCAN) data for a crystal of Ca5Co2N6 relaxed with PBEsol, as listed in Alexandria.

Cell: 9.6843 6.1251 12.3806 Å, 90.00 102.33 90.00°
Space group C2/c (No. 15)
Symmetry-distinct sites (fractional):
Ca 0.0000 0.1307 0.2500 [4 per cell]
Ca 0.0651 0.2396 0.9992 [8 per cell]
Ca 0.1593 0.3932 0.7235 [8 per cell]
Co 0.2282 0.3843 0.4337 [8 per cell]
N 0.0532 0.4616 0.3709 [8 per cell]
N 0.1445 0.0321 0.6448 [8 per cell]
N 0.2161 0.0563 0.4263 [8 per cell]

Summary:
The calculation puts the total DFT energy (no corrections) at -11.38 eV/atom.

Record 13
First-principles (meta-GGA SCAN) data for a crystal of CaCoNO2 relaxed with PBEsol, as listed in Alexandria.

Cell: 3.8921 3.8921 3.4015 Å, 90.00 90.00 90.00°
Space group P4/mmm (No. 123)
Symmetry-distinct sites (fractional):
Ca 0.0000 0.0000 0.0000 [1 per cell]
Co 0.5000 0.5000 0.5000 [1 per cell]
N 0.5000 0.5000 0.0000 [1 per cell]
O 0.0000 0.5000 0.5000 [2 per cell]

Summary:
The calculation puts the total DFT energy (no corrections) at -10.92 eV/atom.

Record 14
First-principles (meta-GGA SCAN) data for a crystal of CaCoNO2 relaxed with PBEsol, as listed in Alexandria.

Cell: 4.1913 4.1913 4.3819 Å, 90.00 90.00 90.00°
Space group P4/mmm (No. 123)
Symmetry-distinct sites (fractional):
Ca 0.0000 0.0000 0.0000 [1 per cell]
Co 0.5000 0.5000 0.5000 [1 per cell]
N 0.0000 0.0000 0.5000 [1 per cell]
O 0.0000 0.5000 0.0000 [2 per cell]

Summary:
The calculation puts the total DFT energy (no corrections) at -9.14 eV/atom.

Record 15
First-principles (meta-GGA SCAN) data for a crystal of CaCoS2N relaxed with PBEsol, as listed in Alexandria.

Cell: 5.1263 5.1263 4.3218 Å, 90.00 90.00 90.00°
Space group P4/mmm (No. 123)
Symmetry-distinct sites (fractional):
Ca 0.0000 0.0000 0.0000 [1 per cell]
Co 0.5000 0.5000 0.5000 [1 per cell]
S 0.0000 0.5000 0.0000 [2 per cell]
N 0.0000 0.0000 0.5000 [1 per cell]

Summary:
The calculation puts the total DFT energy (no corrections) at -10.15 eV/atom.

Record 16
First-principles (meta-GGA SCAN) data for a crystal of CaCoSe2N relaxed with PBEsol, as listed in Alexandria.

Cell: 5.3291 5.3291 4.3173 Å, 90.00 90.00 90.00°
Space group P4/mmm (No. 123)
Symmetry-distinct sites (fractional):
Ca 0.0000 0.0000 0.0000 [1 per cell]
Co 0.5000 0.5000 0.5000 [1 per cell]
Se 0.0000 0.5000 0.0000 [2 per cell]
N 0.0000 0.0000 0.5000 [1 per cell]

Summary:
The calculation puts the total DFT energy (no corrections) at -14.34 eV/atom.

Record 17
First-principles (meta-GGA SCAN) data for a crystal of CaNbCo2S relaxed with PBEsol, as listed in Alexandria.

Cell: 4.2481 4.2481 4.7955 Å, 90.00 90.00 90.00°
Space group P4/mmm (No. 123)
Symmetry-distinct sites (fractional):
Ca 0.0000 0.0000 0.0000 [1 per cell]
Nb 0.5000 0.5000 0.5000 [1 per cell]
Co 0.0000 0.5000 0.0000 [2 per cell]
S 0.0000 0.0000 0.5000 [1 per cell]

Summary:
The calculation puts the total DFT energy (no corrections) at -15.94 eV/atom.

Record 18
First-principles (meta-GGA SCAN) data for a crystal of CaNdCoO4 relaxed with PBEsol, as listed in Alexandria.

Cell: 5.2397 11.8034 5.2514 Å, 90.00 90.00 90.00°
Space group Cmcm (No. 63)
Symmetry-distinct sites (fractional):
Ca 0.0000 0.1074 0.2500 [4 per cell]
Nd 0.0000 0.3867 0.2500 [4 per cell]
Co 0.0000 0.2494 0.7500 [4 per cell]
O 0.0000 0.0853 0.7500 [4 per cell]
O 0.0000 0.4173 0.7500 [4 per cell]
O 0.2500 0.2500 0.0000 [8 per cell]

Summary:
The calculation puts the total DFT energy (no corrections) at -16.44 eV/atom.

Record 19
First-principles (meta-GGA SCAN) data for a crystal of CaNdCoO4 relaxed with PBEsol, as listed in Alexandria.

Cell: 3.6820 3.6820 11.9668 Å, 90.00 90.00 90.00°
Space group I4mm (No. 107)
Symmetry-distinct sites (fractional):
Ca 0.0000 0.0000 0.0000 [2 per cell]
Nd 0.0000 0.0000 0.2800 [2 per cell]
Co 0.0000 0.0000 0.6282 [2 per cell]
O 0.0000 0.0000 0.4728 [2 per cell]
O 0.0000 0.0000 0.8076 [2 per cell]
O 0.0000 0.5000 0.1461 [4 per cell]

Summary:
The calculation puts the total DFT energy (no corrections) at -16.44 eV/atom.

Record 20
First-principles (meta-GGA SCAN) data for a crystal of CaCoNi2 relaxed with PBEsol, as listed in Alexandria.

Cell: 3.8364 3.8364 3.6754 Å, 90.00 90.00 90.00°
Space group P4/mmm (No. 123)
Symmetry-distinct sites (fractional):
Ca 0.0000 0.0000 0.0000 [1 per cell]
Co 0.5000 0.5000 0.0000 [1 per cell]
Ni 0.0000 0.5000 0.5000 [2 per cell]

Summary:
The calculation puts the total DFT energy (no corrections) at -14.51 eV/atom. The energy above the most stable polymorph in this dataset comes out at 323.0 meV per atom. The value obtained for the formation energy is 0.322 eV per atom.

Record 21
First-principles (meta-GGA SCAN) data for a crystal of Ca3CoNi relaxed with PBEsol, as listed in Alexandria.

Cell: 5.0725 5.0725 5.0725 Å, 90.00 90.00 90.00°
Space group Pm-3m (No. 221)
Symmetry-distinct sites (fractional):
Ca 0.0000 0.0000 0.5000 [3 per cell]
Co 0.0000 0.0000 0.0000 [1 per cell]
Ni 0.5000 0.5000 0.5000 [1 per cell]

Summary:
The calculation puts the total DFT energy (no corrections) at -11.79 eV/atom. The value obtained for the formation energy is 0.708 eV per atom.

Record 22
First-principles (meta-GGA SCAN) data for a crystal of CaCoNi2 relaxed with PBEsol, as listed in Alexandria.

Cell: 3.7810 3.7810 7.6431 Å, 90.00 90.00 90.00°
Space group I-4m2 (No. 119)
Symmetry-distinct sites (fractional):
Ca 0.0000 0.0000 0.0000 [2 per cell]
Co 0.0000 0.5000 0.2500 [2 per cell]
Ni 0.0000 0.0000 0.5000 [2 per cell]
Ni 0.0000 0.5000 0.7500 [2 per cell]

Summary:
The calculation puts the total DFT energy (no corrections) at -14.45 eV/atom. The energy above the most stable polymorph in this dataset comes out at 375.8 meV per atom. The value obtained for the formation energy is 0.375 eV per atom.

Record 23
First-principles (meta-GGA SCAN) data for a crystal of CaCoNi2 relaxed with PBEsol, as listed in Alexandria.

Cell: 2.9429 2.9429 6.5190 Å, 90.00 90.00 90.00°
Space group P4mm (No. 99)
Symmetry-distinct sites (fractional):
Ca 0.0000 0.0000 0.0000 [1 per cell]
Co 0.5000 0.5000 0.3221 [1 per cell]
Ni 0.0000 0.0000 0.4973 [1 per cell]
Ni 0.5000 0.5000 0.6934 [1 per cell]

Summary:
The calculation puts the total DFT energy (no corrections) at -14.52 eV/atom. The energy above the most stable polymorph in this dataset comes out at 306.6 meV per atom. The value obtained for the formation energy is 0.306 eV per atom.

Record 24
First-principles (meta-GGA SCAN) data for a crystal of CaCoNi2 relaxed with PBEsol, as listed in Alexandria.

Cell: 3.9780 3.9780 14.4394 Å, 90.00 90.00 120.00°
Space group R3m (No. 160, hexagonal axes)
Symmetry-distinct sites (fractional):
Ca 0.0000 0.0000 0.0000 [3 per cell]
Co 0.0000 0.0000 0.8143 [3 per cell]
Ni 0.0000 0.0000 0.1875 [3 per cell]
Ni 0.0000 0.0000 0.4958 [3 per cell]

Summary:
The calculation puts the total DFT energy (no corrections) at -14.83 eV/atom. The energy above the most stable polymorph in this dataset comes out at 0.0 meV per atom. The value obtained for the formation energy is -0.001 eV per atom.